Record 1
This record from Alexandria describes a geometry-optimized BeOsIN2 structure. The functional is PBE.

Summary:
spin magnetization = 1.45 μB per formula unit
energy above the lowest structure with this stoichiometry = 1.045 eV/atom

Unit cell a=3.670 b=3.670 c=5.265 alpha=90.00 beta=90.00 gamma=90.00
Space group P4/mmm (No. 123)
Unique sites:
1 Be 0.000 0.000 0.000 x1
2 Os 0.500 0.500 0.500 x1
3 I 0.000 0.000 0.500 x1
4 N 0.000 0.500 0.000 x2

***

Record 2
This record from Alexandria describes a geometry-optimized BeOs2IN structure. The functional is PBE.

Summary:
DFT total energy = -5.690 eV/atom
spin magnetization = 0.00 μB per formula unit

Unit cell a=4.625 b=4.625 c=3.227 alpha=90.00 beta=90.00 gamma=90.00
Space group P4/mmm (No. 123)
Unique sites:
1 Be 0.000 0.000 0.000 x1
2 Os 0.000 0.500 0.000 x2
3 I 0.500 0.500 0.500 x1
4 N 0.000 0.000 0.500 x1

***

Record 3
This record from Alexandria describes a geometry-optimized BeOsIN2 structure. The functional is PBE.

Summary:
spin magnetization = 0.00 μB per formula unit
energy above the lowest structure with this stoichiometry = 0.000 eV/atom

Unit cell a=3.783 b=3.783 c=6.228 alpha=90.00 beta=90.00 gamma=90.00
Space group P4/mmm (No. 123)
Unique sites:
1 Be 0.000 0.000 0.000 x1
2 Os 0.500 0.500 0.500 x1
3 I 0.500 0.500 0.000 x1
4 N 0.000 0.500 0.500 x2